# 1
First-principles (PBE-GGA) data for LiDyP2Rh5 after structural relaxation, as listed in Alexandria.

CIF file:
```
data_LiDyP2Rh5
_cell_length_a 4.061
_cell_length_b 4.061
_cell_length_c 8.538
_cell_angle_alpha 90.00
_cell_angle_beta 90.00
_cell_angle_gamma 90.00
_space_group_name_H-M_alt 'P 1'
_space_group_IT_number 1
_space_group_name_Hall 'P 1'
loop_
_atom_site_label
_atom_site_fract_x
_atom_site_fract_y
_atom_site_fract_z
Li1 0.000 0.000 0.000
Dy1 0.000 0.000 0.500
P1 0.500 0.500 0.132
P2 0.500 0.500 0.868
Rh1 0.000 0.500 0.253
Rh2 0.000 0.500 0.747
Rh3 0.500 0.000 0.253
Rh4 0.500 0.000 0.747
Rh5 0.500 0.500 0.500
```

Output
Energy of formation from the pure elements, eV per atom: -0.7319
DFT total energy, eV/atom: -6.742

# 2
First-principles (PBE-GGA) data for Li2CoC2 after structural relaxation, as listed in Alexandria.

CIF file:
```
data_Li2CoC2
_cell_length_a 4.948
_cell_length_b 4.948
_cell_length_c 3.448
_cell_angle_alpha 90.00
_cell_angle_beta 90.00
_cell_angle_gamma 90.00
_space_group_name_H-M_alt 'P 1'
_space_group_IT_number 1
_space_group_name_Hall 'P 1'
loop_
_atom_site_label
_atom_site_fract_x
_atom_site_fract_y
_atom_site_fract_z
Li1 0.186 0.314 0.000
Li2 0.314 0.814 0.000
Li3 0.686 0.186 0.000
Li4 0.814 0.686 0.000
Co1 0.000 0.000 0.500
Co2 0.500 0.500 0.500
C1 0.098 0.598 0.500
C2 0.402 0.098 0.500
C3 0.598 0.902 0.500
C4 0.902 0.402 0.500
```

Output
Energy of formation from the pure elements, eV per atom: 0.1569
DFT total energy, eV/atom: -5.719

# 3
First-principles (PBE-GGA) data for LaDySc2In4 after structural relaxation, as listed in Alexandria.

CIF file:
```
data_LaDySc2In4
_cell_length_a 9.139
_cell_length_b 9.139
_cell_length_c 9.139
_cell_angle_alpha 33.42
_cell_angle_beta 33.42
_cell_angle_gamma 33.42
_space_group_name_H-M_alt 'P 1'
_space_group_IT_number 1
_space_group_name_Hall 'P 1'
loop_
_atom_site_label
_atom_site_fract_x
_atom_site_fract_y
_atom_site_fract_z
La1 0.000 0.000 0.000
Dy1 0.500 0.500 0.500
Sc1 0.250 0.250 0.250
Sc2 0.750 0.750 0.750
In1 0.127 0.127 0.127
In2 0.378 0.378 0.378
In3 0.622 0.622 0.622
In4 0.873 0.873 0.873
```

Output
Energy of formation from the pure elements, eV per atom: -0.4274
DFT total energy, eV/atom: -4.571

# 4
First-principles (PBE-GGA) data for Sr3Th3WN8 after structural relaxation, as listed in Alexandria.

CIF file:
```
data_Sr3Th3WN8
_cell_length_a 7.310
_cell_length_b 7.310
_cell_length_c 7.310
_cell_angle_alpha 58.39
_cell_angle_beta 58.39
_cell_angle_gamma 58.39
_space_group_name_H-M_alt 'P 1'
_space_group_IT_number 1
_space_group_name_Hall 'P 1'
loop_
_atom_site_label
_atom_site_fract_x
_atom_site_fract_y
_atom_site_fract_z
Sr1 0.000 0.500 0.500
Sr2 0.500 0.000 0.500
Sr3 0.500 0.500 0.000
Th1 0.000 0.000 0.500
Th2 0.000 0.500 0.000
Th3 0.500 0.000 0.000
W1 0.500 0.500 0.500
N1 0.238 0.238 0.238
N2 0.272 0.707 0.707
N3 0.293 0.293 0.728
N4 0.293 0.728 0.293
N5 0.707 0.272 0.707
N6 0.707 0.707 0.272
N7 0.728 0.293 0.293
N8 0.762 0.762 0.762
```

Output
DFT total energy, eV/atom: -8.243
Formation energy from raw total energies, kJ/mol of atoms: -107.9

# 5
First-principles (PBE-GGA) data for TcPbBr2 after structural relaxation, as listed in Alexandria.

CIF file:
```
data_TcPbBr2
_cell_length_a 3.407
_cell_length_b 3.407
_cell_length_c 8.943
_cell_angle_alpha 90.00
_cell_angle_beta 90.00
_cell_angle_gamma 90.00
_space_group_name_H-M_alt 'P 1'
_space_group_IT_number 1
_space_group_name_Hall 'P 1'
loop_
_atom_site_label
_atom_site_fract_x
_atom_site_fract_y
_atom_site_fract_z
Tc1 0.000 0.000 0.000
Pb1 0.000 0.000 0.500
Br1 0.500 0.500 0.195
Br2 0.500 0.500 0.805
```

Output
Offset from the most stable computed form, eV per atom: 0.428
DFT total energy, eV/atom: -3.910
Formation energy from raw total energies, kJ/mol of atoms: 42.9

# 6
First-principles (PBE-GGA) data for BaSr2Si6 after structural relaxation, as listed in Alexandria.

CIF file:
```
data_BaSr2Si6
_cell_length_a 7.670
_cell_length_b 7.670
_cell_length_c 7.670
_cell_angle_alpha 147.07
_cell_angle_beta 101.02
_cell_angle_gamma 88.25
_space_group_name_H-M_alt 'P 1'
_space_group_IT_number 1
_space_group_name_Hall 'P 1'
loop_
_atom_site_label
_atom_site_fract_x
_atom_site_fract_y
_atom_site_fract_z
Ba1 0.000 0.000 0.000
Sr1 0.336 0.836 0.500
Sr2 0.664 0.164 0.500
Si1 0.062 0.317 0.745
Si2 0.367 0.500 0.867
Si3 0.428 0.683 0.745
Si4 0.572 0.317 0.255
Si5 0.633 0.500 0.133
Si6 0.938 0.683 0.255
```

Output
DFT total energy, eV/atom: -4.394
Formation energy from raw total energies, kJ/mol of atoms: -18.4

# 7
First-principles (PBE-GGA) data for Ac2DyHo after structural relaxation, as listed in Alexandria.

CIF file:
```
data_Ac2DyHo
_cell_length_a 3.881
_cell_length_b 3.881
_cell_length_c 9.936
_cell_angle_alpha 90.00
_cell_angle_beta 90.00
_cell_angle_gamma 90.00
_space_group_name_H-M_alt 'P 1'
_space_group_IT_number 1
_space_group_name_Hall 'P 1'
loop_
_atom_site_label
_atom_site_fract_x
_atom_site_fract_y
_atom_site_fract_z
Ac1 0.000 0.000 0.249
Ac2 0.000 0.000 0.751
Dy1 0.500 0.500 0.500
Ho1 0.500 0.500 0.000
```

Output
Energy of formation from the pure elements, eV per atom: 0.0539
Offset from the most stable computed form, eV per atom: 0.004
DFT total energy, eV/atom: -4.295

# 8
First-principles (PBE-GGA) data for Sr2FeI after structural relaxation, as listed in Alexandria.

CIF file:
```
data_Sr2FeI
_cell_length_a 8.103
_cell_length_b 8.103
_cell_length_c 8.103
_cell_angle_alpha 90.00
_cell_angle_beta 90.00
_cell_angle_gamma 90.00
_space_group_name_H-M_alt 'P 1'
_space_group_IT_number 1
_space_group_name_Hall 'P 1'
loop_
_atom_site_label
_atom_site_fract_x
_atom_site_fract_y
_atom_site_fract_z
Sr1 0.250 0.250 0.250
Sr2 0.250 0.250 0.750
Sr3 0.250 0.750 0.250
Sr4 0.250 0.750 0.750
Sr5 0.750 0.250 0.250
Sr6 0.750 0.250 0.750
Sr7 0.750 0.750 0.250
Sr8 0.750 0.750 0.750
Fe1 0.000 0.000 0.000
Fe2 0.000 0.500 0.500
Fe3 0.500 0.000 0.500
Fe4 0.500 0.500 0.000
I1 0.000 0.000 0.500
I2 0.000 0.500 0.000
I3 0.500 0.000 0.000
I4 0.500 0.500 0.500
```

Output
Offset from the most stable computed form, eV per atom: 0.000
DFT total energy, eV/atom: -3.249
Formation energy from raw total energies, kJ/mol of atoms: 9.1